No. 1
Computed, not measured: crystalline ErNiGe2 at its relaxed geometry at the PBE level of DFT.

Lattice parameters (Å, degrees): 4.165 4.041 8.634 76.47 90.00 90.00
Fractional coordinates of all 8 atoms:
Er  0.250  0.892  0.216
Ge  0.250  0.541  0.918
Ge  0.750  0.459  0.082
Ni  0.250  0.677  0.646
Ge  0.750  0.748  0.503
Er  0.750  0.108  0.784
Ge  0.250  0.252  0.497
Ni  0.750  0.323  0.354

## Properties
Total DFT energy (no corrections): -5.518 eV/atom

No. 2
Computed, not measured: crystalline Er3Ni2Ge4 at its relaxed geometry at the PBE level of DFT.

Lattice parameters (Å, degrees): 5.649 5.649 7.995 105.48 105.48 42.97
Fractional coordinates of all 9 atoms:
Ge  0.912  0.912  0.102
Ge  0.707  0.707  0.576
Er  0.374  0.374  0.807
Er  0.000  0.000  0.500
Ge  0.293  0.293  0.424
Ge  0.088  0.088  0.898
Ni  0.307  0.307  0.129
Er  0.626  0.626  0.193
Ni  0.693  0.693  0.871

## Properties
Total DFT energy (no corrections): -5.588 eV/atom

No. 3
Computed, not measured: crystalline Er4NiGe at its relaxed geometry at the PBE level of DFT.

Lattice parameters (Å, degrees): 6.539 6.539 4.053 90.00 90.00 90.46
Site moments in Bohr magnetons follow the coordinates.
Fractional coordinates of all 6 atoms:
Ge  0.500  0.500  0.000  0.00
Er  0.809  0.809  0.000  0.07
Er  0.287  0.713  0.500  0.11
Er  0.191  0.191  0.000  0.07
Ni  0.000  0.000  0.500  0.02
Er  0.713  0.287  0.500  0.11

## Properties
Total DFT energy (no corrections): -5.004 eV/atom

No. 4
Computed, not measured: crystalline Er3Ni2Ge3 at its relaxed geometry at the PBE level of DFT.

Lattice parameters (Å, degrees): 5.520 5.520 14.001 90.00 90.00 135.47
Fractional coordinates of all 16 atoms:
Ge  0.623  0.377  0.462
Er  0.088  0.912  0.891
Ge  0.623  0.377  0.038
Ni  0.799  0.201  0.601
Ge  0.377  0.623  0.962
Ge  0.337  0.663  0.250
Ni  0.201  0.799  0.101
Ge  0.663  0.337  0.750
Er  0.088  0.912  0.609
Ni  0.799  0.201  0.899
Er  0.912  0.088  0.109
Ni  0.201  0.799  0.399
Ge  0.377  0.623  0.538
Er  0.912  0.088  0.391
Er  0.366  0.634  0.750
Er  0.634  0.366  0.250

## Properties
Total DFT energy (no corrections): -5.666 eV/atom

No. 5
Computed, not measured: crystalline ErNi6Ge4 at its relaxed geometry at the PBE level of DFT.

Lattice parameters (Å, degrees): 6.822 6.822 3.755 90.00 90.00 120.00
Fractional coordinates of all 11 atoms:
Ni  0.537  0.463  0.000
Ge  0.382  0.191  0.500
Ge  0.333  0.667  0.000
Ni  0.205  0.795  0.500
Ni  0.537  0.074  0.000
Ni  0.926  0.463  0.000
Ge  0.809  0.618  0.500
Er  0.000  0.000  0.000
Ni  0.591  0.795  0.500
Ge  0.809  0.191  0.500
Ni  0.205  0.409  0.500

## Properties
Total DFT energy (no corrections): -5.631 eV/atom

No. 6
Computed, not measured: crystalline ErNiGe3 at its relaxed geometry at the PBE level of DFT.

Lattice parameters (Å, degrees): 11.043 11.043 4.063 90.00 90.00 158.71
Fractional coordinates of all 10 atoms:
Ge  0.443  0.557  0.500
Ge  0.943  0.057  0.000
Ge  0.783  0.217  0.500
Er  0.331  0.669  0.000
Er  0.669  0.331  0.000
Ge  0.217  0.783  0.500
Ni  0.111  0.889  0.500
Ni  0.889  0.111  0.500
Ge  0.057  0.943  0.000
Ge  0.557  0.443  0.500

## Properties
Total DFT energy (no corrections): -5.357 eV/atom

No. 7
Computed, not measured: crystalline ErNi5Ge3 at its relaxed geometry at the PBE level of DFT.

Lattice parameters (Å, degrees): 19.092 3.857 6.812 90.00 90.00 90.00
Fractional coordinates of all 36 atoms:
Ni  0.497  0.250  0.369
Ni  0.003  0.750  0.869
Ni  0.207  0.750  0.575
Ni  0.707  0.750  0.925
Ni  0.293  0.250  0.075
Ni  0.799  0.250  0.811
Ge  0.423  0.250  0.648
Ni  0.513  0.250  0.880
Er  0.646  0.250  0.621
Ge  0.577  0.750  0.352
Ge  0.263  0.750  0.883
Ni  0.503  0.750  0.631
Ge  0.414  0.250  0.096
Ni  0.299  0.250  0.689
Ni  0.388  0.750  0.861
Ge  0.086  0.750  0.596
Er  0.354  0.750  0.379
Ni  0.997  0.250  0.131
Ni  0.987  0.750  0.380
Ni  0.701  0.750  0.311
Ni  0.793  0.250  0.425
Ni  0.487  0.750  0.120
Ni  0.013  0.250  0.620
Ni  0.612  0.250  0.139
Ge  0.914  0.250  0.404
Ge  0.237  0.250  0.383
Ni  0.888  0.750  0.639
Er  0.854  0.750  0.121
Ni  0.201  0.750  0.189
Ge  0.077  0.750  0.148
Ge  0.737  0.250  0.117
Ge  0.586  0.750  0.904
Er  0.146  0.250  0.879
Ge  0.923  0.250  0.852
Ni  0.112  0.250  0.361
Ge  0.763  0.750  0.617

## Properties
Total DFT energy (no corrections): -5.685 eV/atom

No. 8
Computed, not measured: crystalline ErNi2GeP at its relaxed geometry at the PBE level of DFT.

Lattice parameters (Å, degrees): 5.559 5.559 5.559 138.46 138.46 60.19
Fractional coordinates of all 5 atoms:
Ni  0.756  0.256  0.500
Er  0.997  0.997  0.000
Ni  0.256  0.756  0.500
Ge  0.621  0.621  0.000
P  0.370  0.370  0.000

## Properties
Total DFT energy (no corrections): -6.010 eV/atom

No. 9
Computed, not measured: crystalline ErSc2Ni4Ge4 at its relaxed geometry at the PBE level of DFT.

Lattice parameters (Å, degrees): 7.594 7.594 7.594 149.90 127.54 61.68
Fractional coordinates of all 11 atoms:
Sc  0.627  0.127  0.500
Ni  0.981  0.677  0.304
Sc  0.373  0.873  0.500
Ge  0.689  0.500  0.189
Ni  0.373  0.677  0.696
Ni  0.627  0.323  0.304
Ge  0.311  0.500  0.811
Ge  0.222  0.222  0.000
Ge  0.778  0.778  0.000
Er  0.000  0.000  0.000
Ni  0.019  0.323  0.696

## Properties
Total DFT energy (no corrections): -6.035 eV/atom

No. 10
Computed, not measured: crystalline ErSiNiGe2 at its relaxed geometry at the PBE level of DFT.

Lattice parameters (Å, degrees): 10.929 10.929 4.066 90.00 90.00 159.02
Fractional coordinates of all 10 atoms:
Si  0.056  0.944  0.500
Ge  0.284  0.716  0.500
Er  0.833  0.167  0.000
Ni  0.609  0.391  0.500
Er  0.167  0.833  0.000
Ge  0.716  0.284  0.500
Ni  0.391  0.609  0.500
Ge  0.557  0.443  0.000
Ge  0.443  0.557  0.000
Si  0.944  0.056  0.500

## Properties
Total DFT energy (no corrections): -5.548 eV/atom

No. 11
Computed, not measured: crystalline ErSiNiGe2 at its relaxed geometry at the PBE level of DFT.

Lattice parameters (Å, degrees): 10.914 10.914 3.971 90.00 90.00 158.46
Fractional coordinates of all 10 atoms:
Si  0.556  0.444  0.000
Er  0.168  0.832  0.000
Er  0.832  0.168  0.000
Ge  0.943  0.057  0.500
Ge  0.284  0.716  0.500
Si  0.444  0.556  0.000
Ge  0.716  0.284  0.500
Ni  0.391  0.609  0.500
Ge  0.057  0.943  0.500
Ni  0.609  0.391  0.500

## Properties
Total DFT energy (no corrections): -5.549 eV/atom

No. 12
Computed, not measured: crystalline ErSi2NiGe at its relaxed geometry at the PBE level of DFT.

Lattice parameters (Å, degrees): 10.764 10.764 4.037 90.00 90.00 158.98
Fractional coordinates of all 10 atoms:
Er  0.330  0.670  0.000
Ge  0.057  0.943  0.000
Si  0.218  0.782  0.500
Ni  0.887  0.113  0.500
Si  0.557  0.443  0.500
Ge  0.943  0.057  0.000
Er  0.670  0.330  0.000
Si  0.443  0.557  0.500
Si  0.782  0.218  0.500
Ni  0.113  0.887  0.500

## Properties
Total DFT energy (no corrections): -5.750 eV/atom